14
Lattice="6.264 0.000 0.000 -3.132 5.425 0.000 0.000 0.000 7.877" Properties=species:S:1:pos:R:3 comment="K3SrTc2O8 PBE relaxed" spacegroup="No. 164" e_tot_ev_per_atom=-6.465 e_form_raw_ev_per_atom=-1.796 pbc="T T T"
K 0.000 0.000 0.000
K 0.000 3.617 5.234
K 3.132 1.808 2.642
Sr 0.000 0.000 3.938
Tc 0.000 3.617 1.682
Tc 3.132 1.808 6.195
O 0.000 1.935 2.412
O -1.456 4.457 2.412
O 0.000 3.617 7.785
O 1.676 0.968 5.465
O 1.456 4.457 2.412
O 3.132 1.808 0.092
O 4.588 0.968 5.465
O 3.132 3.490 5.465

---

4
Lattice="1.710 0.987 10.626 -1.710 0.987 10.626 0.000 -1.975 10.626" Properties=species:S:1:pos:R:3 comment="ErPu2Au PBE relaxed" spacegroup="No. 166" ef_ev_per_atom=0.0364 e_tot_ev_per_atom=-9.090 pbc="T T T"
Er 0.000 0.000 0.000
Pu 0.000 0.000 7.710
Pu 0.000 0.000 24.169
Au 0.000 0.000 15.940

---

14
Lattice="-3.412 8.884 9.134 3.412 -8.884 9.134 3.412 8.884 -9.134" Properties=species:S:1:pos:R:3 comment="Cs3Rb9Hg2 PBE relaxed" spacegroup="No. 71" ef_ev_per_atom=-0.0284 e_tot_ev_per_atom=-0.876 pbc="T T T"
Cs 0.000 0.000 0.000
Cs 0.000 0.000 5.838
Cs 0.000 0.000 12.429
Rb 3.412 2.478 -2.390
Rb 3.412 -3.722 6.869
Rb 3.412 2.478 2.390
Rb 0.000 5.162 2.264
Rb 0.000 8.884 0.000
Rb 3.412 3.722 6.869
Rb 0.000 6.406 6.744
Rb 0.000 12.606 2.264
Rb 0.000 6.406 11.523
Hg 3.412 5.934 0.000
Hg 0.000 2.950 9.134

---

10
Lattice="7.469 0.000 0.000 0.000 7.469 0.000 0.000 0.000 3.073" Properties=species:S:1:pos:R:3 comment="LaCu2Pt2 PBE relaxed" spacegroup="No. 127" ef_ev_per_atom=-0.4628 e_tot_ev_per_atom=-5.503 e_above_lowest_polymorph_mev_per_atom=130 pbc="T T T"
La 0.000 0.000 0.000
La 3.734 3.734 0.000
Cu 0.880 2.854 0.000
Cu 2.854 6.588 0.000
Cu 4.614 0.880 0.000
Cu 6.588 4.614 0.000
Pt 1.304 5.038 1.536
Pt 2.430 1.304 1.536
Pt 5.038 6.165 1.536
Pt 6.165 2.430 1.536

---

5
Lattice="4.887 0.000 0.000 0.000 4.887 0.000 0.000 0.000 4.976" Properties=species:S:1:pos:R:3 comment="MgV2InCu PBE relaxed" spacegroup="No. 123" ef_ev_per_atom=1.6116 e_tot_ev_per_atom=-3.722 pbc="T T T"
Mg 0.000 0.000 0.000
V 0.000 2.443 0.000
V 2.443 0.000 0.000
In 0.000 0.000 2.488
Cu 2.443 2.443 2.488

---

5
Lattice="5.731 0.000 0.000 0.000 5.731 0.000 0.000 0.000 4.690" Properties=species:S:1:pos:R:3 comment="Ca2HfNbOs PBE relaxed" spacegroup="No. 123" ef_ev_per_atom=1.6307 e_tot_ev_per_atom=-5.421 pbc="T T T"
Ca 0.000 2.865 0.000
Ca 2.865 0.000 0.000
Hf 0.000 0.000 0.000
Nb 2.865 2.865 2.345
Os 0.000 0.000 2.345

---

5
Lattice="-2.071 2.071 5.541 2.071 -2.071 5.541 2.071 2.071 -5.541" Properties=species:S:1:pos:R:3 comment="In2Cu2Pd PBE relaxed" spacegroup="No. 139" ef_ev_per_atom=0.2970 e_tot_ev_per_atom=-3.475 e_above_lowest_polymorph_mev_per_atom=404 pbc="T T T"
In 2.071 0.000 2.770
In 0.000 2.071 2.770
Cu 0.000 0.000 1.129
Cu 0.000 0.000 9.953
Pd 0.000 0.000 5.541

---

12
Lattice="4.808 0.000 0.000 0.000 9.446 0.000 0.000 0.000 6.569" Properties=species:S:1:pos:R:3 comment="ErSc3Tl2 PBE relaxed" spacegroup="No. 26" ef_ev_per_atom=-0.2448 e_tot_ev_per_atom=-4.960 pbc="T T T"
Er 0.000 0.431 0.000
Er 0.000 9.015 3.285
Sc 0.000 2.925 3.972
Sc 0.000 6.521 0.688
Sc 2.404 1.903 1.842
Sc 2.404 4.297 5.828
Sc 2.404 5.148 2.543
Sc 2.404 7.543 5.126
Tl 0.000 3.552 0.997
Tl 0.000 5.893 4.281
Tl 2.404 1.246 4.804
Tl 2.404 8.200 1.519

---

11
Lattice="8.417 -1.447 0.000 8.417 1.447 0.000 -0.639 0.000 8.403" Properties=species:S:1:pos:R:3 comment="Pu5Ga2Ru4 PBE relaxed" spacegroup="No. 12" ef_ev_per_atom=0.0431 e_tot_ev_per_atom=-10.395 pbc="T T T"
Pu 0.000 0.000 0.000
Pu 5.534 0.000 0.664
Pu 5.171 0.000 6.566
Pu 11.023 0.000 1.836
Pu 10.660 0.000 7.738
Ga 4.949 0.000 3.542
Ga 11.246 0.000 4.861
Ru 0.907 0.000 3.539
Ru 7.349 0.000 2.497
Ru 8.845 0.000 5.906
Ru 15.287 0.000 4.864

---

3
Lattice="4.381 0.000 0.000 -2.191 3.794 0.000 0.000 0.000 4.070" Properties=species:S:1:pos:R:3 comment="AgBiPt PBE relaxed" spacegroup="No. 156" ef_ev_per_atom=0.0836 e_tot_ev_per_atom=-4.174 e_above_lowest_polymorph_mev_per_atom=186 pbc="T T T"
Ag 0.000 0.000 0.000
Bi 2.191 1.265 1.749
Pt 0.000 2.530 2.896

---

4
Lattice="1.792 1.034 7.741 -1.792 1.034 7.741 0.000 -2.069 7.741" Properties=species:S:1:pos:R:3 comment="Er2HgC PBE relaxed" spacegroup="No. 166" ef_ev_per_atom=-0.4158 e_tot_ev_per_atom=-5.079 pbc="T T T"
Er 0.000 0.000 5.202
Er 0.000 0.000 18.020
Hg 0.000 0.000 0.000
C 0.000 0.000 11.611

---

5
Lattice="4.739 0.000 0.000 0.000 4.739 0.000 0.000 0.000 4.753" Properties=species:S:1:pos:R:3 comment="TcOsW2Au PBE relaxed" spacegroup="No. 123" ef_ev_per_atom=3.0330 e_tot_ev_per_atom=-7.123 e_above_lowest_polymorph_mev_per_atom=1173 pbc="T T T"
Tc 0.000 0.000 0.000
Os 2.370 2.370 0.000
W 0.000 2.370 2.377
W 2.370 0.000 2.377
Au 2.370 2.370 2.377

---

no.,D(E_F) (states/eV per cell)
1,9.43
2,17.40
3,11.91
4,3.46
5,4.96
6,6.22
7,1.81
8,14.56
9,24.05
10,1.26
11,2.72
12,9.80